First-principles (PBE) data for a relaxed structure of ReBiO4, as listed in Alexandria via LeMat-Bulk.

Unit cell a=6.587 b=6.870 c=6.694 alpha=90.00 beta=90.00 gamma=90.00
Positions (direct):
Re  0.000  0.500  0.000
Re  0.000  0.000  0.500
Bi  0.000  0.000  0.000
Bi  0.500  0.000  0.500
O  0.150  0.334  0.139
O  0.150  0.666  0.861
O  0.850  0.334  0.861
O  0.850  0.666  0.139
O  0.802  0.955  0.697
O  0.802  0.045  0.303
O  0.198  0.955  0.303
O  0.198  0.045  0.697

Distance to the lowest polymorph of the same formula (meV per atom): 390
E (eV/atom): -7.088
E_form (uncorrected) (eV per atom): -1.061
Volume (A^3/atom): 25.24


First-principles (PBE) data for a relaxed structure of Re2Bi2O7, as listed in Alexandria via LeMat-Bulk.

Unit cell a=8.095 b=5.487 c=5.487 alpha=110.79 beta=82.91 gamma=82.91
Positions (direct):
Re  0.411  0.304  0.304
Re  0.589  0.696  0.696
Bi  0.000  0.321  0.679
Bi  0.000  0.679  0.321
O  0.706  0.856  0.517
O  0.294  0.483  0.144
O  0.294  0.144  0.483
O  0.706  0.517  0.856
O  0.500  0.000  0.000
O  0.370  0.636  0.636
O  0.630  0.364  0.364

E (eV/atom): -7.286
E_form (uncorrected) (eV per atom): -1.162
Volume (A^3/atom): 20.22


First-principles (PBE) data for a relaxed structure of Re3BiO, as listed in Alexandria via LeMat-Bulk.

Unit cell a=5.175 b=5.175 c=5.175 alpha=90.00 beta=90.00 gamma=90.00
Positions (direct):
Re  0.000  0.500  0.000
Re  0.000  0.000  0.500
Re  0.500  0.000  0.000
Bi  0.000  0.000  0.000
O  0.500  0.500  0.500

Distance to the lowest polymorph of the same formula (meV per atom): 2833
E (eV/atom): -5.396
E_form (uncorrected) (eV per atom): 3.840
Volume (A^3/atom): 27.72


First-principles (PBE) data for a relaxed structure of Re2BiO8, as listed in Alexandria via LeMat-Bulk.

Unit cell a=5.943 b=6.460 c=6.460 alpha=59.20 beta=77.49 gamma=77.49
Positions (direct):
Re  0.672  0.804  0.804
Re  0.328  0.196  0.196
Bi  0.000  0.000  0.000
O  0.198  0.328  0.921
O  0.802  0.079  0.672
O  0.361  0.852  0.852
O  0.639  0.148  0.148
O  0.198  0.921  0.328
O  0.802  0.672  0.079
O  0.776  0.646  0.646
O  0.224  0.354  0.354

E (eV/atom): -7.600
E_form (uncorrected) (eV per atom): -1.377
Volume (A^3/atom): 18.75


First-principles (PBE) data for a relaxed structure of ReBi3O7, as listed in Alexandria via LeMat-Bulk.

Unit cell a=6.766 b=6.766 c=7.629 alpha=90.00 beta=90.00 gamma=108.14
Positions (direct):
Re  0.997  0.997  0.500
Re  0.003  0.003  0.000
Bi  0.451  0.451  0.500
Bi  0.549  0.549  0.000
Bi  0.518  0.002  0.256
Bi  0.482  0.998  0.756
Bi  0.002  0.518  0.744
Bi  0.998  0.482  0.244
O  0.710  0.977  0.527
O  0.290  0.023  0.027
O  0.977  0.710  0.473
O  0.023  0.290  0.973
O  0.082  0.318  0.522
O  0.918  0.682  0.022
O  0.318  0.082  0.478
O  0.682  0.918  0.978
O  0.365  0.635  0.250
O  0.635  0.365  0.750
O  0.636  0.364  0.250
O  0.364  0.636  0.750
O  0.970  0.030  0.250
O  0.030  0.970  0.750

E (eV/atom): -6.656
E_form (uncorrected) (eV per atom): -1.311
Volume (A^3/atom): 15.08


First-principles (PBE) data for a relaxed structure of ReBiO6, as listed in Alexandria via LeMat-Bulk.

Unit cell a=5.263 b=5.263 c=5.158 alpha=97.14 beta=97.14 gamma=119.73
Positions (direct):
Re  0.500  0.500  0.500
Bi  0.000  0.000  0.000
O  0.255  0.255  0.705
O  0.442  0.153  0.271
O  0.745  0.745  0.295
O  0.847  0.558  0.729
O  0.558  0.847  0.729
O  0.153  0.442  0.271

E (eV/atom): -6.642
E_form (uncorrected) (eV per atom): -0.883
Volume (A^3/atom): 15.02


First-principles (PBE) data for a relaxed structure of ReBi3O8, as listed in Alexandria via LeMat-Bulk.

Unit cell a=10.156 b=10.156 c=10.156 alpha=109.47 beta=109.47 gamma=109.47
Positions (direct):
Re  0.769  0.769  0.269
Re  0.000  0.500  0.231
Re  0.500  0.731  0.500
Re  0.731  0.000  0.000
Bi  0.249  0.212  0.235
Bi  0.212  0.735  0.749
Bi  0.735  0.249  0.712
Bi  0.477  0.014  0.265
Bi  0.486  0.463  0.751
Bi  0.037  0.023  0.788
Bi  0.023  0.288  0.537
Bi  0.014  0.765  0.977
Bi  0.463  0.251  0.986
Bi  0.251  0.486  0.963
Bi  0.288  0.037  0.523
Bi  0.765  0.477  0.514
O  0.943  0.943  0.443
O  0.000  0.500  0.057
O  0.500  0.557  0.500
O  0.557  0.000  0.000
O  0.816  0.696  0.119
O  0.696  0.619  0.316
O  0.619  0.816  0.196
O  0.077  0.697  0.381
O  0.803  0.380  0.184
O  0.120  0.423  0.304
O  0.423  0.804  0.620
O  0.697  0.881  0.577
O  0.380  0.684  0.303
O  0.684  0.803  0.880
O  0.804  0.120  0.923
O  0.881  0.077  0.197
O  0.446  0.446  0.946
O  0.000  0.500  0.554
O  0.500  0.054  0.500
O  0.054  0.000  0.000
O  0.250  0.269  0.019
O  0.269  0.519  0.750
O  0.519  0.250  0.769
O  0.750  0.231  0.481
O  0.981  0.750  0.731
O  0.231  0.981  0.250
O  0.750  0.472  0.722
O  0.472  0.222  0.250
O  0.222  0.750  0.972
O  0.250  0.028  0.778
O  0.278  0.250  0.528
O  0.028  0.278  0.750

E (eV/atom): -6.749
E_form (uncorrected) (eV per atom): -1.436
Volume (A^3/atom): 16.80


First-principles (PBE) data for a relaxed structure of Re6Bi4O19, as listed in Alexandria via LeMat-Bulk.

Unit cell a=7.903 b=7.903 c=7.903 alpha=109.47 beta=109.47 gamma=109.47
Positions (direct):
Re  0.366  0.500  0.866
Re  0.634  0.500  0.134
Re  0.134  0.634  0.500
Re  0.866  0.366  0.500
Re  0.500  0.866  0.366
Re  0.500  0.134  0.634
Bi  0.000  0.000  0.697
Bi  0.000  0.697  0.000
Bi  0.303  0.303  0.303
Bi  0.697  0.000  0.000
O  0.681  0.000  0.681
O  0.319  0.000  0.319
O  0.319  0.319  0.000
O  0.681  0.681  0.000
O  0.000  0.681  0.681
O  0.000  0.319  0.319
O  0.000  0.000  0.000
O  0.346  0.286  0.626
O  0.654  0.280  0.940
O  0.659  0.720  0.374
O  0.940  0.654  0.280
O  0.341  0.714  0.060
O  0.626  0.346  0.286
O  0.060  0.341  0.714
O  0.374  0.659  0.720
O  0.714  0.060  0.341
O  0.280  0.940  0.654
O  0.286  0.626  0.346
O  0.720  0.374  0.659

E (eV/atom): -7.717
E_form (uncorrected) (eV per atom): -1.358
Volume (A^3/atom): 13.10


First-principles (PBE) data for a relaxed structure of ReBi2O, as listed in Alexandria via LeMat-Bulk.

Unit cell a=5.857 b=5.857 c=7.117 alpha=65.70 beta=65.70 gamma=90.00
Positions (direct):
Re  0.000  0.000  0.000
Re  0.750  0.250  0.500
Bi  0.588  0.125  0.250
Bi  0.162  0.625  0.250
Bi  0.375  0.412  0.750
Bi  0.875  0.838  0.750
O  0.500  0.500  0.000
O  0.250  0.750  0.500

E (eV/atom): -5.693
E_form (uncorrected) (eV per atom): 0.600
Volume (A^3/atom): 24.82


First-principles (PBE) data for a relaxed structure of ReBi2O6, as listed in Alexandria via LeMat-Bulk.

Unit cell a=5.385 b=5.402 c=8.897 alpha=90.00 beta=107.61 gamma=90.00
Positions (direct):
Re  0.000  0.000  0.000
Re  0.500  0.500  0.000
Bi  0.173  0.478  0.345
Bi  0.827  0.522  0.655
Bi  0.327  0.978  0.655
Bi  0.673  0.022  0.345
O  0.889  0.931  0.779
O  0.611  0.431  0.221
O  0.499  0.750  0.499
O  0.266  0.750  0.032
O  0.501  0.250  0.501
O  0.234  0.250  0.968
O  0.389  0.569  0.779
O  0.734  0.250  0.968
O  0.766  0.750  0.032
O  0.111  0.069  0.221
O  0.001  0.250  0.501
O  0.999  0.750  0.499

Distance to the lowest polymorph of the same formula (meV per atom): 0
E (eV/atom): -6.954
E_form (uncorrected) (eV per atom): -1.403
Volume (A^3/atom): 13.70


First-principles (PBE) data for a relaxed structure of Re2Bi5O12, as listed in Alexandria via LeMat-Bulk.

Unit cell a=5.788 b=7.154 c=7.890 alpha=107.11 beta=90.00 gamma=113.86
Positions (direct):
Re  0.785  0.000  0.000
Re  0.215  0.000  0.000
Bi  0.307  0.613  0.649
Bi  0.309  0.617  0.178
Bi  0.000  0.000  0.500
Bi  0.691  0.383  0.822
Bi  0.693  0.387  0.351
O  0.993  0.985  0.194
O  0.086  0.682  0.902
O  0.596  0.682  0.902
O  0.097  0.690  0.419
O  0.593  0.690  0.419
O  0.502  0.003  0.837
O  0.498  0.997  0.163
O  0.903  0.310  0.581
O  0.407  0.310  0.581
O  0.914  0.318  0.098
O  0.404  0.318  0.098
O  0.007  0.015  0.806

E (eV/atom): -6.780
E_form (uncorrected) (eV per atom): -1.317
Volume (A^3/atom): 14.89


First-principles (PBE) data for a relaxed structure of ReBiO5, as listed in Alexandria via LeMat-Bulk.

Unit cell a=6.559 b=6.559 c=8.390 alpha=90.32 beta=110.82 gamma=122.56
Positions (direct):
Re  0.578  0.305  0.758
Re  0.454  0.680  0.258
Bi  0.734  0.938  0.976
Bi  0.038  0.742  0.476
O  0.449  0.947  0.729
O  0.247  0.141  0.559
O  0.782  0.780  0.229
O  0.821  0.437  0.678
O  0.752  0.310  0.983
O  0.418  0.812  0.059
O  0.241  0.357  0.178
O  0.536  0.539  0.817
O  0.672  0.730  0.483
O  0.278  0.781  0.317

Distance to the lowest polymorph of the same formula (meV per atom): 65
E (eV/atom): -7.301
E_form (uncorrected) (eV per atom): -1.427
Volume (A^3/atom): 19.67